[1]
This record from Alexandria describes a geometry-optimized Tb2NdMg8 structure. The functional is PBE.

Summary:
M_tot: 0.000 μB per atom
Theoretical density: 3.71 g cm⁻³
Uncorrected energy: -2.39 eV per atom

a b c (Å): 5.237 7.365 15.230
angles (deg): 90.00 90.00 90.00
Space group Immm (No. 71)
Unique sites:
Tb 0.000 0.000 0.197 (multiplicity 4)
Nd 0.000 0.000 0.500 (multiplicity 2)
Mg 0.000 0.211 0.000 (multiplicity 4)
Mg 0.000 0.289 0.352 (multiplicity 8)
Mg 0.000 0.500 0.161 (multiplicity 4)

=====

[2]
This record from Alexandria describes a geometry-optimized Tb5Nd4Mg structure. The functional is PBE.

Summary:
M_tot: 0.000 μB per atom
Theoretical density: 6.88 g cm⁻³
Uncorrected energy: -4.21 eV per atom
Energy above the lowest structure with this stoichiometry: 82 meV per atom

a b c (Å): 10.752 10.752 5.832
angles (deg): 90.00 90.00 90.00
Space group I4mm (No. 107)
Unique sites:
Tb 0.000 0.000 0.000 (multiplicity 2)
Tb 0.185 0.185 0.711 (multiplicity 8)
Nd 0.000 0.317 0.198 (multiplicity 8)
Mg 0.000 0.000 0.480 (multiplicity 2)

=====

> Which of these has the highest theoretical density?

Tb5Nd4Mg